Run A
DFT (GGA-PBE) results for a relaxed DyHo2Ir crystal.

D(E_F): 5.49 states/eV/f.u.

a b c (Å): 3.7188 3.7188 31.3953
angles (deg): 90.00 90.00 120.00
Sites, in units of the cell vectors:
Dy 0.0000 0.0000 0.0000
Dy 0.3333 0.6667 0.6667
Dy 0.6667 0.3333 0.3333
Ho 0.0000 0.0000 0.1131
Ho 0.0000 0.0000 0.8869
Ho 0.3333 0.6667 0.5535
Ho 0.3333 0.6667 0.7798
Ho 0.6667 0.3333 0.2202
Ho 0.6667 0.3333 0.4465
Ir 0.0000 0.0000 0.5000
Ir 0.3333 0.6667 0.1667
Ir 0.6667 0.3333 0.8333

=====

Run B
DFT (GGA-PBE) results for a relaxed DyHo2Ir crystal.

D(E_F): 4.06 states/eV/f.u.

a b c (Å): 7.2101 9.2375 6.3748
angles (deg): 90.00 90.00 90.00
Sites, in units of the cell vectors:
Dy 0.0338 0.2500 0.1311
Dy 0.4662 0.7500 0.6311
Dy 0.5338 0.2500 0.3689
Dy 0.9662 0.7500 0.8689
Ho 0.1768 0.0628 0.6737
Ho 0.1768 0.4372 0.6737
Ho 0.3232 0.5628 0.1737
Ho 0.3232 0.9372 0.1737
Ho 0.6768 0.0628 0.8263
Ho 0.6768 0.4372 0.8263
Ho 0.8232 0.5628 0.3263
Ho 0.8232 0.9372 0.3263
Ir 0.1165 0.7500 0.4531
Ir 0.3835 0.2500 0.9531
Ir 0.6165 0.7500 0.0469
Ir 0.8835 0.2500 0.5469

=====

It is run B that is the most stable of them.

=====

Run A
DFT (GGA-PBE) results for a relaxed DyHo2Ir crystal.

D(E_F): 4.42 states/eV/f.u.

a b c (Å): 3.8861 12.0287 9.0673
angles (deg): 90.00 90.00 90.00
Sites, in units of the cell vectors:
Dy 0.0000 0.0737 0.2500
Dy 0.0000 0.9263 0.7500
Dy 0.5000 0.4263 0.7500
Dy 0.5000 0.5737 0.2500
Ho 0.0000 0.3579 0.0663
Ho 0.0000 0.3579 0.4337
Ho 0.0000 0.6421 0.5663
Ho 0.0000 0.6421 0.9337
Ho 0.5000 0.1421 0.5663
Ho 0.5000 0.1421 0.9337
Ho 0.5000 0.8579 0.0663
Ho 0.5000 0.8579 0.4337
Ir 0.0000 0.2526 0.7500
Ir 0.0000 0.7474 0.2500
Ir 0.5000 0.2474 0.2500
Ir 0.5000 0.7526 0.7500

=====

Run B
DFT (GGA-PBE) results for a relaxed DyHo2Ir crystal.

D(E_F): 5.14 states/eV/f.u.

a b c (Å): 3.4695 3.4695 8.7312
angles (deg): 90.00 90.00 90.00
Sites, in units of the cell vectors:
Dy 0.0000 0.0000 0.0000
Ho 0.5000 0.5000 0.3138
Ho 0.5000 0.5000 0.6862
Ir 0.0000 0.0000 0.5000

=====

It is run A that is the most stable of them.

=====

Run A
DFT (GGA-PBE) results for a relaxed Dy3HoIr3 crystal.

D(E_F): 6.07 states/eV/f.u.

a b c (Å): 5.9077 5.9077 5.9077
angles (deg): 109.42 109.42 109.42
Sites, in units of the cell vectors:
Dy 0.0000 0.5000 0.5000
Dy 0.5000 0.0000 0.5000
Dy 0.5000 0.5000 0.0000
Ho 0.0000 0.0000 0.0000
Ir 0.0000 0.0000 0.5000
Ir 0.0000 0.5000 0.0000
Ir 0.5000 0.0000 0.0000

=====

Run B
DFT (GGA-PBE) results for a relaxed Dy3HoIr3 crystal.

D(E_F): 2.91 states/eV/f.u.

a b c (Å): 6.9810 6.9810 6.5923
angles (deg): 90.03 90.03 89.71
Sites, in units of the cell vectors:
Dy 0.2450 0.2450 0.0005
Dy 0.2452 0.7548 0.0000
Dy 0.2472 0.7528 0.5000
Dy 0.7528 0.2472 0.5000
Dy 0.7548 0.2452 0.0000
Dy 0.7550 0.7550 0.9995
Ho 0.2425 0.2425 0.5004
Ho 0.7575 0.7575 0.4996
Ir 0.0000 0.0000 0.2501
Ir 0.0000 0.0000 0.7499
Ir 0.0000 0.5000 0.2508
Ir 0.0000 0.5000 0.7492
Ir 0.5000 0.0000 0.2508
Ir 0.5000 0.0000 0.7492

=====

It is run A that is the most stable of them.